Entry A
# Eu2CdPt

A relaxed Eu2CdPt crystal (GGA-PBE, Alexandria).

Geometry as extended XYZ:
```
4
Lattice="-0.252 2.218 -4.791 -4.455 2.359 -1.589 -0.182 5.262 -0.470" Properties=species:S:1:pos:R:3 pbc="T T T"
Eu -1.222 2.460 -1.712
Eu -3.667 7.379 -5.137
Pt -2.445 4.919 -3.425
Cd 0.000 0.000 0.000
```

Entry B
# Eu2CdPt

A relaxed Eu2CdPt crystal (GGA-PBE, Alexandria).

Geometry as extended XYZ:
```
4
Lattice="-0.469 -3.647 0.603 0.020 -0.611 -3.675 7.580 -0.942 0.198" Properties=species:S:1:pos:R:3 pbc="T T T"
Eu 5.909 -0.735 0.155
Eu 1.671 -0.208 0.044
Pt -0.224 -2.129 -1.536
Cd 3.565 -2.600 -1.437
```

It is entry B that is most stable; the runner-up trails by 65 meV per atom.

Entry A
# EuPuCd2

A relaxed EuPuCd2 crystal (GGA-PBE, Alexandria).

Geometry as extended XYZ:
```
4
Lattice="3.766 0.000 0.000 0.000 3.766 0.000 0.000 0.000 8.087" Properties=species:S:1:pos:R:3 pbc="T T T"
Eu 1.883 1.883 4.044
Pu 1.883 1.883 0.000
Cd 0.000 0.000 6.140
Cd 0.000 0.000 1.947
```

Entry B
# EuPuCd2

A relaxed EuPuCd2 crystal (GGA-PBE, Alexandria).

Geometry as extended XYZ:
```
4
Lattice="-4.014 3.377 1.549 -4.646 -2.033 2.047 -1.152 0.624 5.310" Properties=species:S:1:pos:R:3 pbc="T T T"
Eu 0.000 0.000 0.000
Cd -2.453 0.492 2.227
Cd -7.359 1.476 6.680
Pu -4.906 0.984 4.453
```

It is entry A that is most stable; the runner-up trails by 37 meV per atom.

Entry A
# EuCdSb

A relaxed EuCdSb crystal (GGA-PBE, Alexandria).

Geometry as extended XYZ:
```
3
Lattice="4.556 0.000 0.000 0.000 4.768 0.000 0.000 -2.384 4.129" Properties=species:S:1:pos:R:3 pbc="T T T"
Eu 3.076 2.384 1.376
Sb 1.154 0.000 2.753
Cd 0.326 0.000 0.000
```

Entry B
# EuCdSb

A relaxed EuCdSb crystal (GGA-PBE, Alexandria).

Geometry as extended XYZ:
```
3
Lattice="-3.433 -1.574 1.250 1.985 -2.269 2.595 0.291 5.873 1.863" Properties=species:S:1:pos:R:3 pbc="T T T"
Eu -0.824 -1.009 2.797
Sb -1.100 1.514 5.214
Cd -0.260 2.371 2.271
```

It is entry A that is most stable; the runner-up trails by 118 meV per atom.